Below is Li2MnCoF8 after structural relaxation, with properties calculated at the PBE with a Hubbard U level.

a b c (Å): 6.747 6.341 6.256
angles (deg): 90.00 93.03 90.00
Space group C2/m (No. 12)
Inequivalent atoms, fractional coordinates:
1 Li 0.001 0.000 0.248 x4
2 Mn 0.000 0.500 0.500 x2
3 Co 0.000 0.500 0.000 x2
4 F 0.000 0.206 0.500 x4
5 F 0.000 0.213 0.000 x4
6 F 0.189 0.500 0.741 x4
7 F 0.190 0.500 0.230 x4

crystal system = monoclinic
energy = -5.0460 eV per atom

---

Below is Li2CoMoF8 after structural relaxation, with properties calculated at the PBE with a Hubbard U level.

a b c (Å): 4.764 6.396 4.776
angles (deg): 90.00 92.43 90.00
Space group P2/m (No. 10)
Inequivalent atoms, fractional coordinates:
1 Li 0.000 0.221 0.000 x2
2 Co 0.500 0.000 0.500 x1
3 Mo 0.500 0.500 0.500 x1
4 F 0.203 0.500 0.201 x2
5 F 0.207 0.000 0.205 x2
6 F 0.302 0.265 0.695 x4

crystal system = monoclinic
energy = -5.1405 eV per atom

---

Below is LiCoMoF6 after structural relaxation, with properties calculated at the PBE with a Hubbard U level.

a b c (Å): 5.4141 5.4141 8.9168
angles (deg): 90.00 90.00 120.00
Space group P-31c (No. 163)
Inequivalent atoms, fractional coordinates:
1 Li 0.0000 0.0000 0.0000 x2
2 Co 0.3333 0.6667 0.2500 x2
3 Mo 0.3333 0.6667 0.7500 x2
4 F 0.0056 0.3402 0.1300 x12

crystal system = trigonal
energy = -5.2924 eV per atom